No. 1
This record from the Alexandria database describes a relaxed structure of SrSiHg2. The functional is PBE.

Its formation energy without anion corrections is -0.17 eV per atom. The symmetry is No. 12. For the total moment, the calculation gives 0.000 μB per formula unit. For the calculated density, the calculation gives 8.0 Mg/m³. The density of states at the Fermi level is 0.46 states/eV per atom.

a b c (Å): 4.5907 4.5907 6.4383
angles (deg): 110.52 110.52 59.47
Element x y z (fractional)
Sr (0.0000, 0.0000, 0.0000)
Si (0.5000, 0.5000, 0.5000)
Hg (0.2225, 0.2225, 0.6701)
Hg (0.7775, 0.7775, 0.3299)

=====

No. 2
This record from the Alexandria database describes a relaxed structure of GdAlZnCu. The functional is PBE.

The symmetry is No. 216. For the total moment, the calculation gives 6.985 μB per formula unit. For the calculated density, the calculation gives 7.3 Mg/m³. The energy of formation comes out at -1.327 eV per formula unit. The density of states at the Fermi level is 0.49 states/eV per atom.

a b c (Å): 4.6618 4.6618 4.6618
angles (deg): 60.00 60.00 60.00
Element x y z (fractional)
Gd (0.0000, 0.0000, 0.0000)
Al (0.5000, 0.5000, 0.5000)
Zn (0.2500, 0.2500, 0.2500)
Cu (0.7500, 0.7500, 0.7500)

=====

No. 3
This record from the Alexandria database describes a relaxed structure of TbLuZnCu. The functional is PBE.

The symmetry is No. 216. For the total moment, the calculation gives 0.000 μB per formula unit. For the calculated density, the calculation gives 9.0 Mg/m³. The energy of formation comes out at -1.195 eV per formula unit. The density of states at the Fermi level is 0.67 states/eV per atom.

a b c (Å): 4.9343 4.9343 4.9343
angles (deg): 60.00 60.00 60.00
Element x y z (fractional)
Tb (0.0000, 0.0000, 0.0000)
Lu (0.5000, 0.5000, 0.5000)
Zn (0.2500, 0.2500, 0.2500)
Cu (0.7500, 0.7500, 0.7500)

=====

No. 4
This record from the Alexandria database describes a relaxed structure of ScAlRu2. The functional is PBE.

The symmetry is No. 47. For the total moment, the calculation gives 0.000 μB per formula unit. For the calculated density, the calculation gives 7.4 Mg/m³. The energy of formation comes out at -1.489 eV per formula unit. The density of states at the Fermi level is 0.63 states/eV per atom.

a b c (Å): 3.1812 4.0387 4.7968
angles (deg): 90.00 90.00 90.00
Element x y z (fractional)
Sc (0.0000, 0.0000, 0.0000)
Al (0.5000, 0.0000, 0.5000)
Ru (0.0000, 0.5000, 0.5000)
Ru (0.5000, 0.5000, 0.0000)

=====

No. 5
This record from the Alexandria database describes a relaxed structure of CeMoN2. The functional is PBE.

Its formation energy without anion corrections is -1.12 eV per atom. The symmetry is No. 62. For the total moment, the calculation gives 0.000 μB per formula unit. For the calculated density, the calculation gives 8.6 Mg/m³. The density of states at the Fermi level is 0.29 states/eV per atom.

a b c (Å): 5.7207 3.2611 10.9388
angles (deg): 90.00 90.00 90.00
Element x y z (fractional)
Ce (0.0733, 0.2500, 0.1447)
Ce (0.4267, 0.7500, 0.6447)
Ce (0.5733, 0.2500, 0.3553)
Ce (0.9267, 0.7500, 0.8553)
Mo (0.0666, 0.7500, 0.4019)
Mo (0.4334, 0.2500, 0.9019)
Mo (0.5666, 0.7500, 0.0981)
Mo (0.9334, 0.2500, 0.5981)
N (0.1673, 0.2500, 0.7536)
N (0.2456, 0.2500, 0.4929)
N (0.2544, 0.7500, 0.9929)
N (0.3327, 0.7500, 0.2536)
N (0.6673, 0.2500, 0.7464)
N (0.7456, 0.2500, 0.0071)
N (0.7544, 0.7500, 0.5071)
N (0.8327, 0.7500, 0.2464)

=====

No. 6
This record from the Alexandria database describes a relaxed structure of Tb8SiTe4Pt3. The functional is PBE.

Its formation energy without anion corrections is -1.21 eV per atom. The symmetry is No. 166. For the total moment, the calculation gives 0.000 μB per formula unit. For the calculated density, the calculation gives 9.0 Mg/m³. The density of states at the Fermi level is 0.71 states/eV per atom.

a b c (Å): 8.7528 8.7528 8.7528
angles (deg): 56.97 56.97 56.97
Element x y z (fractional)
Tb (0.2369, 0.7400, 0.7400)
Tb (0.2375, 0.2375, 0.2375)
Tb (0.2600, 0.2600, 0.7631)
Tb (0.2600, 0.7631, 0.2600)
Tb (0.7400, 0.2369, 0.7400)
Tb (0.7400, 0.7400, 0.2369)
Tb (0.7625, 0.7625, 0.7625)
Tb (0.7631, 0.2600, 0.2600)
Si (0.5000, 0.5000, 0.5000)
Te (0.0000, 0.0000, 0.0000)
Te (0.0000, 0.5000, 0.5000)
Te (0.5000, 0.0000, 0.5000)
Te (0.5000, 0.5000, 0.0000)
Pt (0.0000, 0.0000, 0.5000)
Pt (0.0000, 0.5000, 0.0000)
Pt (0.5000, 0.0000, 0.0000)

=====

No. 7
This record from the Alexandria database describes a relaxed structure of Tb4SmDy2Th. The functional is PBE.

The symmetry is No. 47. For the total moment, the calculation gives 0.000 μB per formula unit. For the calculated density, the calculation gives 8.7 Mg/m³. The energy of formation comes out at 0.233 eV per formula unit. The density of states at the Fermi level is 1.32 states/eV per atom.

a b c (Å): 5.0455 5.0562 10.0726
angles (deg): 90.00 90.00 90.00
Element x y z (fractional)
Tb (0.0000, 0.0000, 0.2465)
Tb (0.0000, 0.0000, 0.7535)
Tb (0.5000, 0.5000, 0.2470)
Tb (0.5000, 0.5000, 0.7530)
Sm (0.5000, 0.0000, 0.5000)
Dy (0.0000, 0.5000, 0.5000)
Dy (0.5000, 0.0000, 0.0000)
Th (0.0000, 0.5000, 0.0000)

=====

No. 8
This record from the Alexandria database describes a relaxed structure of UPtPbAu. The functional is PBE.

The symmetry is No. 216. For the total moment, the calculation gives 2.378 μB per formula unit. For the calculated density, the calculation gives 15.8 Mg/m³. The energy of formation comes out at -0.943 eV per formula unit. The density of states at the Fermi level is 2.00 states/eV per atom.

a b c (Å): 4.9879 4.9879 4.9879
angles (deg): 60.00 60.00 60.00
Element x y z (fractional)
U (0.0000, 0.0000, 0.0000)
Pt (0.2500, 0.2500, 0.2500)
Pb (0.5000, 0.5000, 0.5000)
Au (0.7500, 0.7500, 0.7500)

=====

- Among the records above, which one has the lowest density of states at the Fermi level?
  CeMoN2